1:
Density functional theory data (PBE) for a geometry-optimized Ba2SN structure.

## Properties
Total magnetic moment: 4.000 Bohr magnetons per cell
Volume: 502.9 Å³ per cell
DOS(E_F): 11.46 states/eV per cell
Theoretical density: 4.2 g/cm3

a b c (Å): 7.559 7.559 8.800
angles (deg): 90.00 90.00 90.00
Space group I-42d (No. 122)
Symmetry-distinct sites (fractional):
1 Ba 0.207 0.250 0.125
2 S 0.000 0.000 0.500
3 N 0.000 0.000 0.000

---

2:
Density functional theory data (PBE) for a geometry-optimized Ba2SN structure.

## Properties
Total magnetic moment: 4.000 Bohr magnetons per cell
Volume: 406.3 Å³ per cell
DOS(E_F): 27.53 states/eV per cell
Theoretical density: 5.2 g/cm3

a b c (Å): 7.406 7.406 7.406
angles (deg): 90.00 90.00 90.00
Space group Fm-3m (No. 225)
Symmetry-distinct sites (fractional):
1 Ba 0.250 0.250 0.250
2 S 0.000 0.000 0.000
3 N 0.000 0.000 0.500

---

1 wins, 207 meV/atom ahead of the next structure.

---

1:
Density functional theory data (PBE) for a geometry-optimized BaSN structure.

## Properties
Total magnetic moment: 0.000 Bohr magnetons per cell
Volume: 420.2 Å³ per cell
DOS(E_F): 0.00 states/eV per cell
Theoretical density: 2.9 g/cm3

a b c (Å): 6.348 6.346 10.457
angles (deg): 90.00 93.98 90.00
Space group C2/m (No. 12)
Symmetry-distinct sites (fractional):
1 Ba 0.233 0.000 0.350
2 S 0.233 0.500 0.349
3 N 0.045 0.000 0.048

---

2:
Density functional theory data (PBE) for a geometry-optimized BaSN structure.

## Properties
Total magnetic moment: 0.000 Bohr magnetons per cell
Volume: 343.0 Å³ per cell
DOS(E_F): 0.00 states/eV per cell
Theoretical density: 3.6 g/cm3

a b c (Å): 9.531 5.588 6.440
angles (deg): 90.00 90.42 90.00
Space group C2/m (No. 12)
Symmetry-distinct sites (fractional):
1 Ba 0.169 0.000 0.248
2 S 0.166 0.000 0.759
3 N 0.052 0.500 0.542

---

1 wins, 20 meV/atom ahead of the next structure.

---

1:
Density functional theory data (PBE) for a geometry-optimized BaSeSN2 structure.

## Properties
Total magnetic moment: 1.884 Bohr magnetons per cell
Volume: 91.2 Å³ per cell
DOS(E_F): 2.83 states/eV per cell
Theoretical density: 5.0 g/cm3

a b c (Å): 4.279 4.279 4.979
angles (deg): 90.00 90.00 90.00
Space group P4/mmm (No. 123)
Symmetry-distinct sites (fractional):
1 Ba 0.000 0.000 0.000
2 Se 0.500 0.500 0.500
3 S 0.500 0.500 0.000
4 N 0.000 0.500 0.500

---

2:
Density functional theory data (PBE) for a geometry-optimized BaSeSN2 structure.

## Properties
Total magnetic moment: 5.602 Bohr magnetons per cell
Volume: 166.1 Å³ per cell
DOS(E_F): 6.04 states/eV per cell
Theoretical density: 2.8 g/cm3

a b c (Å): 5.124 5.124 6.327
angles (deg): 90.00 90.00 90.00
Space group P4/mmm (No. 123)
Symmetry-distinct sites (fractional):
1 Ba 0.000 0.000 0.000
2 Se 0.500 0.500 0.500
3 S 0.000 0.000 0.500
4 N 0.000 0.500 0.000

---

1 wins, 1171 meV/atom ahead of the next structure.